Sr2LiGa2Cu: optimized geometry, PBE.

DOS at the Fermi energy   5.0 states/eV/f.u.
Uncorrected energy   -2.8460 eV per atom
V   301.3 Å³ per cell
DFT formation energy   -275 meV/atom

Cell: 6.504 6.421 8.540 Å, 112.08 112.38 90.00°
Sites, in units of the cell vectors:
Li (0.000, 0.750, 0.000)
Li (0.000, 0.250, 0.000)
Ga (0.814, 0.089, 0.178)
Ga (0.636, 0.411, 0.822)
Ga (0.364, 0.589, 0.178)
Ga (0.186, 0.911, 0.822)
Sr (0.595, 0.837, 0.674)
Sr (0.079, 0.337, 0.674)
Sr (0.921, 0.663, 0.326)
Sr (0.405, 0.163, 0.326)
Cu (0.500, 0.250, 0.000)
Cu (0.500, 0.750, 0.000)